[1]
# ThFeSi2Rh (PBE, relaxed)
data_ThFeSi2Rh
_chemical_formula_sum 'Th2 Fe2 Si4 Rh2'
_symmetry_space_group_name_H-M 'I -4 m 2'
_symmetry_Int_Tables_number 119
_symmetry_space_group_name_Hall 'I -4 -2'
_cell_length_a 4.0912
_cell_length_b 4.0912
_cell_length_c 9.9047
_cell_angle_alpha 90.00
_cell_angle_beta 90.00
_cell_angle_gamma 90.00
loop_
_atom_site_label
_atom_site_fract_x
_atom_site_fract_y
_atom_site_fract_z
Th1 0.0000 0.0000 0.0000
Fe1 0.0000 0.5000 0.2500
Si1 0.0000 0.0000 0.3707
Rh1 0.0000 0.5000 0.7500
# * spin magnetization: 0.000 Bohr magnetons per cell
# * ΔE_f (raw): -0.892 eV/atom
# * DOS(E_F): 0.457 states/eV per atom


[2]
# Ba2AlPbS5 (PBE, relaxed)
data_Ba2AlPbS5
_chemical_formula_sum 'Ba8 Al4 Pb4 S20'
_symmetry_space_group_name_H-M 'C m c 21'
_symmetry_Int_Tables_number 36
_cell_length_a 4.0787
_cell_length_b 18.2914
_cell_length_c 13.2819
_cell_angle_alpha 90.00
_cell_angle_beta 90.00
_cell_angle_gamma 90.00
loop_
_symmetry_equiv_pos_as_xyz
'x,y,z'
'-x,-y,z+1/2'
'-x,y,z'
'x,-y,z+1/2'
'x+1/2,y+1/2,z'
'-x+1/2,-y+1/2,z+1/2'
'-x+1/2,y+1/2,z'
'x+1/2,-y+1/2,z+1/2'
loop_
_atom_site_label
_atom_site_fract_x
_atom_site_fract_y
_atom_site_fract_z
Ba1 0.0000 0.1124 0.0000
Ba2 0.0000 0.1298 0.6470
Al1 0.0000 0.4467 0.7387
Pb1 0.0000 0.2056 0.3515
S1 0.0000 0.0319 0.3268
S2 0.0000 0.2884 0.9957
S3 0.0000 0.3258 0.6956
S4 0.0000 0.3503 0.3259
S5 0.0000 0.4948 0.0917
# * spin magnetization: 0.000 Bohr magnetons per cell
# * ΔE_f (raw): -1.315 eV/atom
# * DOS(E_F): 0.446 states/eV per atom


[3]
# Pm3AlTl3S8 (PBE, relaxed)
data_Pm3AlTl3S8
_chemical_formula_sum 'Pm6 Al2 Tl6 S16'
_symmetry_space_group_name_H-M 'C 1 2/m 1'
_symmetry_Int_Tables_number 12
_cell_length_a 13.9932
_cell_length_b 8.0789
_cell_length_c 8.7024
_cell_angle_alpha 90.00
_cell_angle_beta 122.50
_cell_angle_gamma 90.00
loop_
_symmetry_equiv_pos_as_xyz
'x,y,z'
'-x,-y,-z'
'-x,y,-z'
'x,-y,z'
'x+1/2,y+1/2,z'
'-x+1/2,-y+1/2,-z'
'-x+1/2,y+1/2,-z'
'x+1/2,-y+1/2,z'
loop_
_atom_site_label
_atom_site_fract_x
_atom_site_fract_y
_atom_site_fract_z
Pm1 0.0000 0.0000 0.0000
Pm2 0.2500 0.2500 0.0000
Al1 0.0000 0.5000 0.0000
Tl1 0.0000 0.5000 0.5000
Tl2 0.2500 0.2500 0.5000
S1 0.0108 0.2771 0.8096
S2 0.2120 0.5000 0.1904
S3 0.2365 0.0000 0.2092
# * spin magnetization: 0.000 Bohr magnetons per cell
# * ΔE_f (raw): -1.251 eV/atom
# * DOS(E_F): 0.358 states/eV per atom


[4]
# La6Si2RuCl3 (PBE, relaxed)
data_La6Si2RuCl3
_chemical_formula_sum 'La12 Si4 Ru2 Cl6'
_symmetry_space_group_name_H-M 'C 1 2/m 1'
_symmetry_Int_Tables_number 12
_cell_length_a 18.8496
_cell_length_b 4.2588
_cell_length_c 8.8586
_cell_angle_alpha 90.00
_cell_angle_beta 104.05
_cell_angle_gamma 90.00
loop_
_symmetry_equiv_pos_as_xyz
'x,y,z'
'-x,-y,-z'
'-x,y,-z'
'x,-y,z'
'x+1/2,y+1/2,z'
'-x+1/2,-y+1/2,-z'
'-x+1/2,y+1/2,-z'
'x+1/2,-y+1/2,z'
loop_
_atom_site_label
_atom_site_fract_x
_atom_site_fract_y
_atom_site_fract_z
La1 0.0025 0.0000 0.2271
La2 0.1509 0.5000 0.0966
La3 0.1725 0.5000 0.5754
Si1 0.1639 0.0000 0.3390
Ru1 0.0000 0.5000 0.0000
Cl1 0.0000 0.5000 0.5000
Cl2 0.1732 0.0000 0.8388
# * spin magnetization: 0.000 Bohr magnetons per cell
# * ΔE_f (raw): -1.165 eV/atom
# * DOS(E_F): 0.605 states/eV per atom